{"formula": "TlFeAs2O8", "functional": "PBE+U", "state": "optimized geometry", "total_magnetization_mub_per_fu": 5.05, "e_tot_ev_per_cell": -69.5, "lattice": [[-2.294, 0.046, 5.347], [2.641, -4.955, -1.528], [4.069, 4.158, -0.104]], "species": ["Tl", "Fe", "As", "As", "O", "O", "O", "O", "O", "O", "O", "O"], "frac_coords": [[0.250, 0.750, 0.500], [0.000, 0.000, 0.000], [0.750, 0.250, 0.500], [0.500, 0.500, 0.000], [0.381, 0.072, 0.309], [0.306, 0.482, 0.176], [0.306, 0.129, 0.824], [0.763, 0.072, 0.691], [0.871, 0.694, 0.176], [0.928, 0.237, 0.309], [0.928, 0.619, 0.691], [0.518, 0.694, 0.824]]}